A geometry-optimized CaRhI structure. Source: the Alexandria database, functional PBE.

symmetry	P1
E_tot	-4.198	eV per atom
formation energy without anion corrections	-0.5637	eV per atom
spin magnetization	0.000	μB per cell

abc: 4.835 4.852 8.567
angles: 100.62 100.43 102.75
Positions (direct):
Ca 0.000 0.000 0.000
Ca 0.251 0.271 0.439
Rh 0.166 0.593 0.199
Rh 0.592 0.176 0.207
I 0.386 0.888 0.719
I 0.724 0.729 0.280